Entry 1:
Ac3Pu5H12 | PBE | optimized geometry

Output
space-group type = No. 230

Unit cell a=11.9087 b=11.9087 c=11.9087 alpha=109.47 beta=109.47 gamma=109.47
Closest atoms and distances in Å follow each position.
Positions (direct):
H1 0.2172 0.6614 0.0790  2 Pu 2.27-2.28, 1 Ac 2.51
H2 0.9210 0.8386 0.7828  2 Pu 2.27-2.28, 1 Ac 2.51
Ac1 0.1250 0.8750 0.7500  8 H 2.51-2.54
Pu1 0.6250 0.7500 0.8750  4 H 2.28
H3 0.0790 0.1614 0.2172  2 Pu 2.27-2.28, 1 Ac 2.51
H4 0.4210 0.2828 0.3386  2 Pu 2.27-2.28, 1 Ac 2.51
H5 0.5558 0.3386 0.9175  2 Pu 2.27-2.28, 1 Ac 2.51
Pu2 0.2500 0.3750 0.6250  4 H 2.28
H6 0.0825 0.9210 0.1383  2 Pu 2.27-2.28, 1 Ac 2.51
H7 0.8386 0.9175 0.0558  2 Pu 2.27-2.28, 1 Ac 2.51
H8 0.2828 0.4210 0.8386  2 Pu 2.27-2.28, 1 Ac 2.51
Ac2 0.8750 0.1250 0.2500  8 H 2.51-2.54
H9 0.7172 0.5790 0.1614  2 Pu 2.27-2.28, 1 Ac 2.51
H10 0.3386 0.7828 0.4210  2 Pu 2.27-2.28, 1 Ac 2.51
Pu3 0.7500 0.1250 0.8750  4 H 2.28
Pu4 0.1250 0.3750 0.2500  4 H 2.28
Pu5 0.5000 0.0000 0.5000  6 H 2.27
Ac3 0.1250 0.2500 0.8750  8 H 2.51-2.54
Ac4 0.2500 0.1250 0.3750  8 H 2.51-2.54
H11 0.0790 0.9175 0.3617  2 Pu 2.27-2.28, 1 Ac 2.51
H12 0.2828 0.8617 0.9442  2 Pu 2.27-2.28, 1 Ac 2.51
Pu6 0.5000 0.5000 0.0000  6 H 2.27
H13 0.6614 0.2172 0.5790  2 Pu 2.27-2.28, 1 Ac 2.51
H14 0.5558 0.2172 0.1383  2 Pu 2.27-2.28, 1 Ac 2.51
Pu7 0.1250 0.7500 0.3750  4 H 2.28
H15 0.1383 0.4210 0.0825  2 Pu 2.27-2.28, 1 Ac 2.51
H16 0.8617 0.2828 0.4442  2 Pu 2.27-2.28, 1 Ac 2.51
H17 0.1614 0.0790 0.7172  2 Pu 2.27-2.28, 1 Ac 2.51
Pu8 0.5000 0.0000 0.0000  6 H 2.27
Pu9 0.3750 0.2500 0.1250  4 H 2.28
Pu10 0.0000 0.0000 0.5000  6 H 2.27
H18 0.0825 0.1614 0.4442  2 Pu 2.27-2.28, 1 Ac 2.51
H19 0.6383 0.5825 0.9210  2 Pu 2.27-2.28, 1 Ac 2.51
H20 0.9210 0.0825 0.6383  2 Pu 2.27-2.28, 1 Ac 2.51
Pu11 0.2500 0.8750 0.1250  4 H 2.28
H21 0.5825 0.9442 0.6614  2 Pu 2.27-2.28, 1 Ac 2.51
Pu12 0.8750 0.6250 0.7500  4 H 2.28
H22 0.4442 0.7828 0.8617  2 Pu 2.27-2.28, 1 Ac 2.51
H23 0.6614 0.4442 0.5825  2 Pu 2.27-2.28, 1 Ac 2.51
H24 0.5790 0.7172 0.6614  2 Pu 2.27-2.28, 1 Ac 2.51
H25 0.7828 0.4442 0.3617  2 Pu 2.27-2.28, 1 Ac 2.51
H26 0.1383 0.7172 0.5558  2 Pu 2.27-2.28, 1 Ac 2.51
H27 0.3617 0.4175 0.0790  2 Pu 2.27-2.28, 1 Ac 2.51
Pu13 0.0000 0.0000 0.0000  6 H 2.27
Ac5 0.6250 0.2500 0.3750  8 H 2.51-2.54
Ac6 0.7500 0.3750 0.1250  8 H 2.51-2.54
Ac7 0.7500 0.8750 0.6250  8 H 2.51-2.54
Pu14 0.0000 0.5000 0.5000  6 H 2.27
H28 0.3617 0.9442 0.7828  2 Pu 2.27-2.28, 1 Ac 2.51
H29 0.0558 0.4175 0.8386  2 Pu 2.27-2.28, 1 Ac 2.51
H30 0.6383 0.0558 0.2172  2 Pu 2.27-2.28, 1 Ac 2.51
H31 0.3386 0.5558 0.4175  2 Pu 2.27-2.28, 1 Ac 2.51
H32 0.0558 0.6383 0.7172  2 Pu 2.27-2.28, 1 Ac 2.51
H33 0.4175 0.3617 0.5790  2 Pu 2.27-2.28, 1 Ac 2.51
Pu15 0.7500 0.6250 0.3750  4 H 2.28
H34 0.8386 0.9210 0.2828  2 Pu 2.27-2.28, 1 Ac 2.51
H35 0.9175 0.8386 0.5558  2 Pu 2.27-2.28, 1 Ac 2.51
H36 0.1614 0.0825 0.9442  2 Pu 2.27-2.28, 1 Ac 2.51
H37 0.5825 0.6383 0.4210  2 Pu 2.27-2.28, 1 Ac 2.51
Ac8 0.8750 0.7500 0.1250  8 H 2.51-2.54
Ac9 0.6250 0.3750 0.7500  8 H 2.51-2.54
Ac10 0.3750 0.7500 0.6250  8 H 2.51-2.54
H38 0.9442 0.3617 0.2828  2 Pu 2.27-2.28, 1 Ac 2.51
Pu16 0.5000 0.5000 0.5000  6 H 2.27
Pu17 0.0000 0.5000 0.0000  6 H 2.27
Pu18 0.3750 0.1250 0.7500  4 H 2.28
H39 0.9175 0.0790 0.8617  2 Pu 2.27-2.28, 1 Ac 2.51
H40 0.5790 0.8617 0.4175  2 Pu 2.27-2.28, 1 Ac 2.51
H41 0.4442 0.6614 0.0825  2 Pu 2.27-2.28, 1 Ac 2.51
H42 0.7172 0.1383 0.0558  2 Pu 2.27-2.28, 1 Ac 2.51
H43 0.9442 0.5825 0.1614  2 Pu 2.27-2.28, 1 Ac 2.51
H44 0.2172 0.5558 0.6383  2 Pu 2.27-2.28, 1 Ac 2.51
Pu19 0.6250 0.8750 0.2500  4 H 2.28
H45 0.4175 0.0558 0.3386  2 Pu 2.27-2.28, 1 Ac 2.51
H46 0.4210 0.1383 0.5825  2 Pu 2.27-2.28, 1 Ac 2.51
Pu20 0.8750 0.2500 0.6250  4 H 2.28
H47 0.7828 0.3386 0.9210  2 Pu 2.27-2.28, 1 Ac 2.51
Ac11 0.3750 0.6250 0.2500  8 H 2.51-2.54
H48 0.8617 0.5790 0.9175  2 Pu 2.27-2.28, 1 Ac 2.51
Ac12 0.2500 0.6250 0.8750  8 H 2.51-2.54

=====

Entry 2:
ZnRhBr2 | PBE | optimized geometry

Output
space-group type = No. 216
energy relative to the elements, uncorrected = 0.628 eV/atom

Unit cell a=4.8493 b=4.8493 c=4.8493 alpha=60.00 beta=60.00 gamma=60.00
Closest atoms and distances in Å follow each position.
Positions (direct):
Zn1 0.7500 0.7500 0.7500  4 Br 2.97, 4 Rh 2.97
Rh1 0.5000 0.5000 0.5000  4 Br 2.97, 4 Zn 2.97
Br1 0.2500 0.2500 0.2500  4 Rh 2.97, 4 Br 2.97
Br2 0.0000 0.0000 0.0000  4 Br 2.97, 4 Zn 2.97

=====

Entry 3:
Na3Cd2In4 | PBE | optimized geometry

Output
formation energy from the elements = -122 meV per atom
space-group type = No. 15

Unit cell a=6.8453 b=8.8898 c=8.8898 alpha=60.06 beta=90.00 gamma=90.00
Closest atoms and distances in Å follow each position.
Positions (direct):
Cd1 0.5012 0.1636 0.4999  1 Cd 2.91, 2 In 2.95
In1 0.5008 0.4967 0.1699  1 Cd 2.95, 2 In 2.99
In2 0.0000 0.1701 0.8332  1 Cd 2.95, 2 In 2.99-3.00
In3 0.9992 0.8301 0.5033  1 Cd 2.95, 2 In 2.99
Na1 0.7500 0.4999 0.5001  8 In 3.41, 2 Na 3.42, 4 Cd 3.44-3.45
Na2 0.2500 0.5001 0.4999  8 In 3.41, 2 Na 3.42, 4 Cd 3.44-3.45
Cd2 0.0012 0.4999 0.1636  1 Cd 2.91, 2 In 2.95
In4 0.5000 0.8332 0.1701  1 Cd 2.95, 2 In 2.99-3.00
In5 0.0000 0.8299 0.1668  1 Cd 2.95, 2 In 2.99-3.00
In6 0.5000 0.1668 0.8299  1 Cd 2.95, 2 In 2.99-3.00
Na3 0.7500 0.1677 0.1683  4 Cd 3.39-3.41, 8 In 3.39-3.46, 2 Na 3.42
Cd3 0.9988 0.5001 0.8364  1 Cd 2.91, 2 In 2.95
Na4 0.2500 0.8323 0.8317  4 Cd 3.39-3.41, 8 In 3.39-3.46, 2 Na 3.42
Na5 0.7500 0.8317 0.8323  4 Cd 3.39-3.41, 8 In 3.39-3.46, 2 Na 3.42
Cd4 0.4988 0.8364 0.5001  1 Cd 2.91, 2 In 2.95
In7 0.4992 0.5033 0.8301  1 Cd 2.95, 2 In 2.99
Na6 0.2500 0.1683 0.1677  4 Cd 3.39-3.41, 8 In 3.39-3.46, 2 Na 3.42
In8 0.0008 0.1699 0.4967  1 Cd 2.95, 2 In 2.99

=====

Entry 4:
UAs3Rh2 | PBE | optimized geometry

Output
formation energy from the elements = -513 meV per atom
space-group type = No. 26

Unit cell a=3.7733 b=5.6885 c=10.2025 alpha=90.00 beta=90.00 gamma=90.00
Closest atoms and distances in Å follow each position.
Positions (direct):
As1 0.0000 0.3289 0.3974  5 Rh 2.53-2.70
U1 0.0000 0.5229 0.1092  7 As 2.90-3.14, 1 Rh 2.96
Rh1 0.0000 0.9928 0.2349  5 As 2.49-2.59
Rh2 0.0000 0.4928 0.7651  5 As 2.49-2.59
As2 0.5000 0.1367 0.0980  2 Rh 2.49
As3 0.5000 0.6367 0.9020  2 Rh 2.49
U2 0.0000 0.0229 0.8908  7 As 2.90-3.14, 1 Rh 2.96
As4 0.5000 0.7052 0.3019  4 Rh 2.46-2.59
As5 0.0000 0.8289 0.6026  5 Rh 2.53-2.70
Rh3 0.5000 0.0148 0.4700  6 As 2.46-2.70
Rh4 0.5000 0.5148 0.5300  6 As 2.46-2.70
As6 0.5000 0.2052 0.6981  4 Rh 2.46-2.59

=====

Entry 5:
PtPbW2 | PBE | optimized geometry

Output
formation energy from the elements = 478 meV per atom
space-group type = No. 12

Unit cell a=5.0131 b=5.0131 c=5.0332 alpha=78.96 beta=78.96 gamma=37.56
Closest atoms and distances in Å follow each position.
Positions (direct):
W1 0.4907 0.4907 0.5610  2 W 2.53, 3 Pt 2.80-2.81
Pb1 0.2500 0.2500 0.2500  4 Pt 2.99, 6 W 3.02-3.09, 2 Pb 3.23
W2 0.0093 0.0093 0.9390  2 W 2.53, 3 Pt 2.80-2.81
Pt1 0.7500 0.7500 0.7500  6 W 2.80-2.81, 4 Pb 2.99

=====

Entry 6:
SmGa4Os | PBE | optimized geometry

Output
formation energy from the elements = -245 meV per atom
space-group type = No. 63

Unit cell a=4.4299 b=5.7266 c=9.8221 alpha=90.00 beta=103.03 gamma=90.00
Closest atoms and distances in Å follow each position.
Positions (direct):
Os1 0.8990 0.2500 0.7981  6 Ga 2.40-2.58
Ga1 0.2097 0.0170 0.4193  1 Os 2.58, 5 Ga 2.67-2.88
Os2 0.1010 0.7500 0.2019  6 Ga 2.40-2.58
Ga2 0.0000 0.0000 0.0000  2 Os 2.40
Ga3 0.0000 0.5000 0.0000  2 Os 2.40
Sm1 0.6048 0.2500 0.2096  10 Ga 3.03-3.31
Sm2 0.3952 0.7500 0.7904  10 Ga 3.03-3.31
Ga4 0.7903 0.5170 0.5807  1 Os 2.58, 5 Ga 2.67-2.88
Ga5 0.6563 0.7500 0.3125  2 Os 2.45
Ga6 0.3437 0.2500 0.6875  2 Os 2.45
Ga7 0.2097 0.4830 0.4193  1 Os 2.58, 5 Ga 2.67-2.88
Ga8 0.7903 0.9830 0.5807  1 Os 2.58, 5 Ga 2.67-2.88

=====

Entry 7:
GaNiS2 | PBE | optimized geometry

Output
space-group type = No. 8
energy relative to the elements, uncorrected = -0.474 eV/atom

Unit cell a=3.7061 b=3.7011 c=6.1849 alpha=72.55 beta=72.64 gamma=60.04
Closest atoms and distances in Å follow each position.
Positions (direct):
Ga1 0.8340 0.6080 0.2422  1 Ni 2.38, 3 S 2.40-2.41
Ni1 0.6936 0.4736 0.6523  4 S 2.20-2.32, 1 Ga 2.38
S1 0.5623 0.3391 0.0524  1 Ni 2.32, 3 Ga 2.40-2.41
S2 0.0570 0.8364 0.5636  3 Ni 2.20

=====

Entry 8:
Th4Te2CSe | PBE | optimized geometry

Output
space-group type = No. 10
energy relative to the elements, uncorrected = -1.025 eV/atom

Unit cell a=4.0457 b=7.3128 c=7.7117 alpha=107.16 beta=90.00 gamma=90.00
Closest atoms and distances in Å follow each position.
Positions (direct):
C1 0.5000 0.5000 0.0000  6 Th 2.63-2.69
Te1 0.0000 0.5000 0.5000  6 Th 3.14-3.15
Th1 0.0000 0.2951 0.8069  2 C 2.69, 1 Se 2.96
Te2 0.5000 0.0000 0.5000  6 Th 3.37-3.42
Th2 0.5000 0.7309 0.7957  1 C 2.63, 2 Se 2.94
Th3 0.5000 0.2691 0.2043  1 C 2.63, 2 Se 2.94
Se1 0.0000 0.0000 0.0000  6 Th 2.94-2.96
Th4 0.0000 0.7049 0.1931  2 C 2.69, 1 Se 2.96

=====

Entry 9:
BaMo2AsP | PBE | optimized geometry

Output
formation energy from the elements = 2805 meV per atom
space-group type = No. 123

Unit cell a=5.3370 b=5.1771 c=5.3370 alpha=90.00 beta=90.00 gamma=90.00
Closest atoms and distances in Å follow each position.
Positions (direct):
Ba1 0.0000 0.0000 0.0000  2 P 2.59, 4 Mo 2.67
Mo1 0.5000 0.0000 0.0000  2 Ba 2.67
P1 0.0000 0.5000 0.0000  2 Ba 2.59
As1 0.5000 0.5000 0.5000  8 Mo 3.72, 4 P 3.77
Mo2 0.0000 0.0000 0.5000  2 Ba 2.67

=====

Entry 10:
Sr2AcPd2 | PBE | optimized geometry

Output
formation energy from the elements = -468 meV per atom
space-group type = No. 72

Unit cell a=7.2914 b=7.9822 c=7.9822 alpha=63.73 beta=62.82 gamma=62.82
Closest atoms and distances in Å follow each position.
Positions (direct):
Pd1 0.5963 0.1519 0.6556  2 Ac 3.01, 3 Sr 3.03-3.20
Sr1 0.8434 0.0346 0.2787  3 Pd 3.03-3.20
Sr2 0.6566 0.7213 0.9654  3 Pd 3.03-3.20
Sr3 0.1566 0.9654 0.7213  3 Pd 3.03-3.20
Ac1 0.7500 0.5000 0.5000  4 Pd 3.01
Pd2 0.4037 0.8481 0.3444  2 Ac 3.01, 3 Sr 3.03-3.20
Ac2 0.2500 0.5000 0.5000  4 Pd 3.01
Pd3 0.0963 0.6556 0.1519  2 Ac 3.01, 3 Sr 3.03-3.20
Pd4 0.9037 0.3444 0.8481  2 Ac 3.01, 3 Sr 3.03-3.20
Sr4 0.3434 0.2787 0.0346  3 Pd 3.03-3.20

=====

Entry 11:
AlCr2Mo | PBE | optimized geometry

Output
formation energy from the elements = 20 meV per atom
space-group type = No. 10

Unit cell a=4.1930 b=2.6010 c=5.0131 alpha=80.19 beta=90.00 gamma=90.00
Closest atoms and distances in Å follow each position.
Positions (direct):
Al1 0.5000 0.7500 0.7500  8 Cr 2.60-2.89, 2 Al 2.60, 2 Mo 2.62
Mo1 0.5000 0.2500 0.2500  4 Cr 2.57, 2 Mo 2.60, 2 Al 2.62
Cr1 0.0000 0.0553 0.9861  3 Cr 2.41-2.60, 2 Mo 2.57, 2 Al 2.60
Cr2 0.0000 0.4447 0.5139  3 Cr 2.41-2.60, 2 Mo 2.57, 2 Al 2.60

=====

Entry 12:
Cu5RuCl12 | PBE | optimized geometry

Output
space-group type = No. 12
energy relative to the elements, uncorrected = -0.491 eV/atom

Unit cell a=6.9230 b=6.1429 c=12.6522 alpha=95.63 beta=100.03 gamma=55.70
Closest atoms and distances in Å follow each position.
Positions (direct):
Cu1 0.1668 0.6664 0.5000  4 Cl 2.30
Cl1 0.3354 0.0000 0.0804  1 Ru 2.37, 2 Cu 2.39
Cl2 0.4755 0.3331 0.6104  2 Cu 2.30
Cl3 0.1421 0.0000 0.6103  2 Cu 2.30
Cl4 0.8087 0.6669 0.6104  2 Cu 2.30
Cl5 0.5245 0.6669 0.3896  2 Cu 2.30
Ru1 0.0000 0.0000 0.0000  6 Cl 2.37
Cu2 0.8332 0.3336 0.5000  4 Cl 2.30
Cl6 0.2411 0.6627 0.8831  1 Cu 2.32, 1 Ru 2.37
Cl7 0.6646 0.0000 0.9196  1 Ru 2.37, 2 Cu 2.39
Cu3 0.5000 0.0000 0.5000  4 Cl 2.30
Cl8 0.0962 0.6627 0.1170  1 Cu 2.32, 1 Ru 2.37
Cl9 0.1913 0.3332 0.3896  2 Cu 2.30
Cl10 0.8579 0.0000 0.3897  2 Cu 2.30
Cl11 0.7589 0.3373 0.1169  1 Cu 2.32, 1 Ru 2.37
Cl12 0.9038 0.3373 0.8830  1 Cu 2.32, 1 Ru 2.37
Cu4 0.6702 0.6596 0.0000  4 Cl 2.32-2.39
Cu5 0.3298 0.3404 0.0000  4 Cl 2.32-2.39

=====

Here are the calculated DFT total energy numbers, same order: -6.420, -2.365, -1.982, -7.170, -8.436, -4.922, -4.740, -7.109, -3.924, -4.040, -8.435, -3.375 (eV per atom).